Record 1
First-principles (PBE-GGA) data for crystalline PmSbRhSe at its relaxed geometry, as listed in the Alexandria database.

Geometry as CIF:
```
data_PmSbRhSe
_chemical_formula_sum 'Pm2 Sb2 Rh2 Se2'
_cell_length_a 4.7303
_cell_length_b 4.7303
_cell_length_c 8.5932
_cell_angle_alpha 90.00
_cell_angle_beta 90.00
_cell_angle_gamma 90.00
_symmetry_space_group_name_H-M 'P 4/n m m'
_symmetry_Int_Tables_number 129
loop_
_symmetry_equiv_pos_as_xyz
'x,y,z'
'-x,-y,-z'
'-y+1/2,x,z'
'y+1/2,-x,-z'
'-x+1/2,-y+1/2,z'
'x+1/2,y+1/2,-z'
'y,-x+1/2,z'
'-y,x+1/2,-z'
'x+1/2,-y,-z'
'-x+1/2,y,z'
'-y,-x,-z'
'y,x,z'
'-x,y+1/2,-z'
'x,-y+1/2,z'
'y+1/2,x+1/2,-z'
'-y+1/2,-x+1/2,z'
loop_
_atom_site_label
_atom_site_fract_x
_atom_site_fract_y
_atom_site_fract_z
Pm1 0.2500 0.2500 0.1935
Sb1 0.2500 0.2500 0.6418
Rh1 0.2500 0.7500 0.5000
Se1 0.2500 0.7500 0.0000
```

Formation energy (no corrections) in eV/atom: -1.001

***

Record 2
First-principles (PBE-GGA) data for crystalline Pm3Si2SbRh9 at its relaxed geometry, as listed in the Alexandria database.

Geometry as CIF:
```
data_Pm3Si2SbRh9
_chemical_formula_sum 'Pm3 Si2 Sb1 Rh9'
_cell_length_a 6.1876
_cell_length_b 6.1876
_cell_length_c 9.1609
_cell_angle_alpha 90.00
_cell_angle_beta 90.00
_cell_angle_gamma 120.00
_symmetry_space_group_name_H-M 'P -3 m 1'
_symmetry_Int_Tables_number 164
_symmetry_space_group_name_Hall '-P 3 2"'
loop_
_atom_site_label
_atom_site_fract_x
_atom_site_fract_y
_atom_site_fract_z
Pm1 0.0000 0.0000 0.0000
Pm2 0.3333 0.6667 0.7226
Si1 0.3333 0.6667 0.1623
Sb1 0.0000 0.0000 0.5000
Rh1 0.0000 0.5000 0.0000
Rh2 0.1475 0.2951 0.2723
```

Formation energy (no corrections) in eV/atom: -0.564

***

Record 3
First-principles (PBE-GGA) data for crystalline Pm3SiSb2Rh9 at its relaxed geometry, as listed in the Alexandria database.

Geometry as CIF:
```
data_Pm3SiSb2Rh9
_chemical_formula_sum 'Pm3 Si1 Sb2 Rh9'
_cell_length_a 6.9986
_cell_length_b 6.9986
_cell_length_c 7.4380
_cell_angle_alpha 90.00
_cell_angle_beta 90.00
_cell_angle_gamma 120.00
_symmetry_space_group_name_H-M 'P -3 m 1'
_symmetry_Int_Tables_number 164
_symmetry_space_group_name_Hall '-P 3 2"'
loop_
_atom_site_label
_atom_site_fract_x
_atom_site_fract_y
_atom_site_fract_z
Pm1 0.0000 0.0000 0.0000
Pm2 0.3333 0.6667 0.7051
Si1 0.0000 0.0000 0.5000
Sb1 0.3333 0.6667 0.2206
Rh1 0.0000 0.5000 0.0000
Rh2 0.1371 0.2742 0.2976
```

Formation energy (no corrections) in eV/atom: -0.324

***

Record 4
First-principles (PBE-GGA) data for crystalline Pm2SmSb3Rh4 at its relaxed geometry, as listed in the Alexandria database.

Geometry as CIF:
```
data_Pm2SmSb3Rh4
_chemical_formula_sum 'Pm2 Sm1 Sb3 Rh4'
_cell_length_a 4.4058
_cell_length_b 4.4058
_cell_length_c 11.5172
_cell_angle_alpha 90.00
_cell_angle_beta 90.00
_cell_angle_gamma 90.00
_symmetry_space_group_name_H-M 'P -4 m 2'
_symmetry_Int_Tables_number 115
loop_
_symmetry_equiv_pos_as_xyz
'x,y,z'
'y,-x,-z'
'-x,-y,z'
'-y,x,-z'
'-x,y,z'
'-y,-x,-z'
'x,-y,z'
'y,x,-z'
loop_
_atom_site_label
_atom_site_fract_x
_atom_site_fract_y
_atom_site_fract_z
Pm1 0.0000 0.5000 0.2213
Sm1 0.0000 0.0000 0.5000
Sb1 0.0000 0.5000 0.8701
Sb2 0.5000 0.5000 0.5000
Rh1 0.0000 0.0000 0.0000
Rh2 0.0000 0.5000 0.6481
Rh3 0.5000 0.5000 0.0000
```

Formation energy (no corrections) in eV/atom: -0.827

***

Record 5
First-principles (PBE-GGA) data for crystalline PmSnSbRh2 at its relaxed geometry, as listed in the Alexandria database.

Geometry as CIF:
```
data_PmSnSbRh2
_chemical_formula_sum 'Pm4 Sn4 Sb4 Rh8'
_cell_length_a 4.4603
_cell_length_b 14.2193
_cell_length_c 7.0034
_cell_angle_alpha 90.00
_cell_angle_beta 90.00
_cell_angle_gamma 90.00
_symmetry_space_group_name_H-M 'C m c m'
_symmetry_Int_Tables_number 63
_symmetry_space_group_name_Hall '-C 2c 2'
loop_
_atom_site_label
_atom_site_fract_x
_atom_site_fract_y
_atom_site_fract_z
Pm1 0.0000 0.1233 0.2500
Sn1 0.0000 0.1851 0.7500
Sb1 0.0000 0.5000 0.0000
Rh1 0.0000 0.3137 0.0374
```

Formation energy (no corrections) in eV/atom: -0.651

***

Record 6
First-principles (PBE-GGA) data for crystalline Pm2SnSb3Rh4 at its relaxed geometry, as listed in the Alexandria database.

Geometry as CIF:
```
data_Pm2SnSb3Rh4
_chemical_formula_sum 'Pm2 Sn1 Sb3 Rh4'
_cell_length_a 4.4767
_cell_length_b 4.4767
_cell_length_c 10.7111
_cell_angle_alpha 90.00
_cell_angle_beta 90.00
_cell_angle_gamma 90.00
_symmetry_space_group_name_H-M 'P -4 m 2'
_symmetry_Int_Tables_number 115
loop_
_symmetry_equiv_pos_as_xyz
'x,y,z'
'y,-x,-z'
'-x,-y,z'
'-y,x,-z'
'-x,y,z'
'-y,-x,-z'
'x,-y,z'
'y,x,-z'
loop_
_atom_site_label
_atom_site_fract_x
_atom_site_fract_y
_atom_site_fract_z
Pm1 0.0000 0.5000 0.2464
Sn1 0.0000 0.0000 0.5000
Sb1 0.0000 0.5000 0.8678
Sb2 0.5000 0.5000 0.5000
Rh1 0.0000 0.0000 0.0000
Rh2 0.0000 0.5000 0.6296
Rh3 0.5000 0.5000 0.0000
```

Formation energy (no corrections) in eV/atom: -0.789

***

Record 7
First-principles (PBE-GGA) data for crystalline Pm2TlSb3Rh4 at its relaxed geometry, as listed in the Alexandria database.

Geometry as CIF:
```
data_Pm2TlSb3Rh4
_chemical_formula_sum 'Pm2 Tl1 Sb3 Rh4'
_cell_length_a 4.4486
_cell_length_b 4.4486
_cell_length_c 10.9579
_cell_angle_alpha 90.00
_cell_angle_beta 90.00
_cell_angle_gamma 90.00
_symmetry_space_group_name_H-M 'P -4 m 2'
_symmetry_Int_Tables_number 115
loop_
_symmetry_equiv_pos_as_xyz
'x,y,z'
'y,-x,-z'
'-x,-y,z'
'-y,x,-z'
'-x,y,z'
'-y,-x,-z'
'x,-y,z'
'y,x,-z'
loop_
_atom_site_label
_atom_site_fract_x
_atom_site_fract_y
_atom_site_fract_z
Pm1 0.0000 0.5000 0.2466
Tl1 0.0000 0.0000 0.5000
Sb1 0.0000 0.5000 0.8699
Sb2 0.5000 0.5000 0.5000
Rh1 0.0000 0.0000 0.0000
Rh2 0.0000 0.5000 0.6394
Rh3 0.5000 0.5000 0.0000
```

Formation energy (no corrections) in eV/atom: -0.670

***

Record 8
First-principles (PBE-GGA) data for crystalline PmTmSb2Rh5 at its relaxed geometry, as listed in the Alexandria database.

Geometry as CIF:
```
data_PmTmSb2Rh5
_chemical_formula_sum 'Pm1 Tm1 Sb2 Rh5'
_cell_length_a 4.4675
_cell_length_b 4.4675
_cell_length_c 8.9180
_cell_angle_alpha 90.00
_cell_angle_beta 90.00
_cell_angle_gamma 90.00
_symmetry_space_group_name_H-M 'P 4/m m m'
_symmetry_Int_Tables_number 123
_symmetry_space_group_name_Hall '-P 4 2'
loop_
_atom_site_label
_atom_site_fract_x
_atom_site_fract_y
_atom_site_fract_z
Pm1 0.0000 0.0000 0.0000
Tm1 0.0000 0.0000 0.5000
Sb1 0.5000 0.5000 0.3434
Rh1 0.0000 0.5000 0.2176
Rh2 0.5000 0.5000 0.0000
```

Formation energy (no corrections) in eV/atom: -0.509

***

Record 9
First-principles (PBE-GGA) data for crystalline Pm2YSb3Rh4 at its relaxed geometry, as listed in the Alexandria database.

Geometry as CIF:
```
data_Pm2YSb3Rh4
_chemical_formula_sum 'Pm2 Y1 Sb3 Rh4'
_cell_length_a 4.3744
_cell_length_b 4.3744
_cell_length_c 11.5281
_cell_angle_alpha 90.00
_cell_angle_beta 90.00
_cell_angle_gamma 90.00
_symmetry_space_group_name_H-M 'P -4 m 2'
_symmetry_Int_Tables_number 115
loop_
_symmetry_equiv_pos_as_xyz
'x,y,z'
'y,-x,-z'
'-x,-y,z'
'-y,x,-z'
'-x,y,z'
'-y,-x,-z'
'x,-y,z'
'y,x,-z'
loop_
_atom_site_label
_atom_site_fract_x
_atom_site_fract_y
_atom_site_fract_z
Pm1 0.0000 0.5000 0.2250
Y1 0.0000 0.0000 0.5000
Sb1 0.0000 0.5000 0.8691
Sb2 0.5000 0.5000 0.5000
Rh1 0.0000 0.0000 0.0000
Rh2 0.0000 0.5000 0.6471
Rh3 0.5000 0.5000 0.0000
```

Formation energy (no corrections) in eV/atom: -0.849

***

Record 10
First-principles (PBE-GGA) data for crystalline PmZnSbRh at its relaxed geometry, as listed in the Alexandria database.

Geometry as CIF:
```
data_PmZnSbRh
_chemical_formula_sum 'Pm4 Zn4 Sb4 Rh4'
_cell_length_a 6.8797
_cell_length_b 6.8797
_cell_length_c 6.8797
_cell_angle_alpha 90.00
_cell_angle_beta 90.00
_cell_angle_gamma 90.00
_symmetry_space_group_name_H-M 'F -4 3 m'
_symmetry_Int_Tables_number 216
_symmetry_space_group_name_Hall 'F -4 2 3'
loop_
_atom_site_label
_atom_site_fract_x
_atom_site_fract_y
_atom_site_fract_z
Pm1 0.0000 0.0000 0.0000
Zn1 0.2500 0.2500 0.7500
Sb1 0.0000 0.0000 0.5000
Rh1 0.2500 0.2500 0.2500
```

Formation energy (no corrections) in eV/atom: -0.499

***

Record 11
First-principles (PBE-GGA) data for crystalline Pm2ZrSb3Rh4 at its relaxed geometry, as listed in the Alexandria database.

Geometry as CIF:
```
data_Pm2ZrSb3Rh4
_chemical_formula_sum 'Pm2 Zr1 Sb3 Rh4'
_cell_length_a 4.3419
_cell_length_b 4.3419
_cell_length_c 11.3698
_cell_angle_alpha 90.00
_cell_angle_beta 90.00
_cell_angle_gamma 90.00
_symmetry_space_group_name_H-M 'P -4 m 2'
_symmetry_Int_Tables_number 115
loop_
_symmetry_equiv_pos_as_xyz
'x,y,z'
'y,-x,-z'
'-x,-y,z'
'-y,x,-z'
'-x,y,z'
'-y,-x,-z'
'x,-y,z'
'y,x,-z'
loop_
_atom_site_label
_atom_site_fract_x
_atom_site_fract_y
_atom_site_fract_z
Pm1 0.0000 0.5000 0.2321
Zr1 0.0000 0.0000 0.5000
Sb1 0.0000 0.5000 0.8651
Sb2 0.5000 0.5000 0.5000
Rh1 0.0000 0.0000 0.0000
Rh2 0.0000 0.5000 0.6388
Rh3 0.5000 0.5000 0.0000
```

Formation energy (no corrections) in eV/atom: -0.854

***

Record 12
First-principles (PBE-GGA) data for crystalline PmSc4Rh5 at its relaxed geometry, as listed in the Alexandria database.

Geometry as CIF:
```
data_PmSc4Rh5
_chemical_formula_sum 'Pm1 Sc4 Rh5'
_cell_length_a 3.2296
_cell_length_b 3.2296
_cell_length_c 17.0052
_cell_angle_alpha 90.00
_cell_angle_beta 90.00
_cell_angle_gamma 90.00
_symmetry_space_group_name_H-M 'P 4/m m m'
_symmetry_Int_Tables_number 123
_symmetry_space_group_name_Hall '-P 4 2'
loop_
_atom_site_label
_atom_site_fract_x
_atom_site_fract_y
_atom_site_fract_z
Pm1 0.0000 0.0000 0.0000
Sc1 0.0000 0.0000 0.2107
Sc2 0.0000 0.0000 0.4037
Rh1 0.5000 0.5000 0.1192
Rh2 0.5000 0.5000 0.3087
Rh3 0.5000 0.5000 0.5000
```

DFT formation energy in meV/atom: -927